# GGA-PBE Pu3SbP2, optimized geometry
data_Pu3SbP2
_chemical_formula_sum 'Pu6 Sb2 P4'
_cell_length_a 6.341
_cell_length_b 6.341
_cell_length_c 9.840
_cell_angle_alpha 90.00
_cell_angle_beta 90.00
_cell_angle_gamma 134.12
_space_group_name_H-M_alt 'P 1'
_space_group_IT_number 1
_space_group_name_Hall 'P 1'
loop_
_atom_site_label
_atom_site_type_symbol
_atom_site_fract_x
_atom_site_fract_y
_atom_site_fract_z
Pu1 Pu 0.100 0.900 0.750
Pu2 Pu 0.370 0.630 0.544
Pu3 Pu 0.370 0.630 0.956
Pu4 Pu 0.630 0.370 0.044
Pu5 Pu 0.630 0.370 0.456
Pu6 Pu 0.900 0.100 0.250
Sb1 Sb 0.215 0.785 0.250
Sb2 Sb 0.785 0.215 0.750
P1 P 0.000 0.000 0.000
P2 P 0.000 0.000 0.500
P3 P 0.472 0.528 0.250
P4 P 0.528 0.472 0.750
# uncorrected formation energy = -0.751 eV/atom
# size of the total moment = 32.24 Bohr magnetons per cell
# N(E_F) = 44.047 states/eV/cell



# GGA-PBE Ho3ZnIn2, optimized geometry
data_Ho3ZnIn2
_chemical_formula_sum 'Ho3 Zn1 In2'
_cell_length_a 3.619
_cell_length_b 3.619
_cell_length_c 11.430
_cell_angle_alpha 90.00
_cell_angle_beta 90.00
_cell_angle_gamma 90.00
_space_group_name_H-M_alt 'P 1'
_space_group_IT_number 1
_space_group_name_Hall 'P 1'
loop_
_atom_site_label
_atom_site_type_symbol
_atom_site_fract_x
_atom_site_fract_y
_atom_site_fract_z
Ho1 Ho 0.000 0.000 0.000
Ho2 Ho 0.000 0.000 0.351
Ho3 Ho 0.000 0.000 0.649
Zn1 Zn 0.500 0.500 0.500
In1 In 0.500 0.500 0.177
In2 In 0.500 0.500 0.823
# E_tot = -23.1 eV for the cell shown
# size of the total moment = 0.00 Bohr magnetons per cell
# N(E_F) = 4.033 states/eV/cell



# GGA-PBE TbScBi2, optimized geometry
data_TbScBi2
_chemical_formula_sum 'Tb1 Sc1 Bi2'
_cell_length_a 7.584
_cell_length_b 7.584
_cell_length_c 7.584
_cell_angle_alpha 33.59
_cell_angle_beta 33.59
_cell_angle_gamma 33.59
_space_group_name_H-M_alt 'P 1'
_space_group_IT_number 1
_space_group_name_Hall 'P 1'
loop_
_atom_site_label
_atom_site_type_symbol
_atom_site_fract_x
_atom_site_fract_y
_atom_site_fract_z
Tb1 Tb 0.000 0.000 0.000
Sc1 Sc 0.500 0.500 0.500
Bi1 Bi 0.245 0.245 0.245
Bi2 Bi 0.755 0.755 0.755
# ΔE to the lowest computed polymorph = 0 meV per atom
# size of the total moment = 0.00 Bohr magnetons per cell
# N(E_F) = 0.860 states/eV/cell



# GGA-PBE Tl2VGeRh, optimized geometry
data_Tl2VGeRh
_chemical_formula_sum 'Tl2 V1 Ge1 Rh1'
_cell_length_a 5.205
_cell_length_b 5.205
_cell_length_c 4.696
_cell_angle_alpha 90.00
_cell_angle_beta 90.00
_cell_angle_gamma 90.00
_space_group_name_H-M_alt 'P 1'
_space_group_IT_number 1
_space_group_name_Hall 'P 1'
loop_
_atom_site_label
_atom_site_type_symbol
_atom_site_fract_x
_atom_site_fract_y
_atom_site_fract_z
Tl1 Tl 0.000 0.500 0.000
Tl2 Tl 0.500 0.000 0.000
V1 V 0.000 0.000 0.500
Ge1 Ge 0.500 0.500 0.500
Rh1 Rh 0.000 0.000 0.000
# E_tot = -22.7 eV for the cell shown
# size of the total moment = 2.39 Bohr magnetons per cell
# N(E_F) = 4.887 states/eV/cell



# GGA-PBE K4ZrAs, optimized geometry
data_K4ZrAs
_chemical_formula_sum 'K4 Zr1 As1'
_cell_length_a 6.822
_cell_length_b 6.822
_cell_length_c 6.822
_cell_angle_alpha 60.00
_cell_angle_beta 60.00
_cell_angle_gamma 60.00
_space_group_name_H-M_alt 'P 1'
_space_group_IT_number 1
_space_group_name_Hall 'P 1'
loop_
_atom_site_label
_atom_site_type_symbol
_atom_site_fract_x
_atom_site_fract_y
_atom_site_fract_z
K1 K 0.377 0.377 0.377
K2 K 0.377 0.377 0.870
K3 K 0.377 0.870 0.377
K4 K 0.870 0.377 0.377
Zr1 Zr 0.000 0.000 0.000
As1 As 0.750 0.750 0.750
# E_tot = -12.5 eV for the cell shown
# size of the total moment = 4.28 Bohr magnetons per cell
# N(E_F) = 11.124 states/eV/cell



# GGA-PBE K2FeCl, optimized geometry
data_K2FeCl
_chemical_formula_sum 'K2 Fe1 Cl1'
_cell_length_a 3.749
_cell_length_b 9.269
_cell_length_c 9.269
_cell_angle_alpha 22.83
_cell_angle_beta 90.00
_cell_angle_gamma 90.00
_space_group_name_H-M_alt 'P 1'
_space_group_IT_number 1
_space_group_name_Hall 'P 1'
loop_
_atom_site_label
_atom_site_type_symbol
_atom_site_fract_x
_atom_site_fract_y
_atom_site_fract_z
K1 K 0.000 0.000 0.000
K2 K 0.000 0.209 0.209
Fe1 Fe 0.500 0.366 0.366
Cl1 Cl 0.500 0.610 0.610
# ΔE to the lowest computed polymorph = 40 meV per atom
# uncorrected formation energy = -0.120 eV/atom
# size of the total moment = 3.12 Bohr magnetons per cell
# N(E_F) = 3.550 states/eV/cell



# GGA-PBE SnOsNO2, optimized geometry
data_SnOsNO2
_chemical_formula_sum 'Sn1 Os1 N1 O2'
_cell_length_a 4.058
_cell_length_b 4.058
_cell_length_c 3.821
_cell_angle_alpha 90.00
_cell_angle_beta 90.00
_cell_angle_gamma 90.00
_space_group_name_H-M_alt 'P 1'
_space_group_IT_number 1
_space_group_name_Hall 'P 1'
loop_
_atom_site_label
_atom_site_type_symbol
_atom_site_fract_x
_atom_site_fract_y
_atom_site_fract_z
Sn1 Sn 0.000 0.000 0.000
Os1 Os 0.500 0.500 0.500
N1 N 0.500 0.500 0.000
O1 O 0.000 0.500 0.500
O2 O 0.500 0.000 0.500
# uncorrected formation energy = -0.270 eV/atom
# size of the total moment = 0.00 Bohr magnetons per cell
# N(E_F) = 2.326 states/eV/cell



# GGA-PBE CdSnPb2I, optimized geometry
data_CdSnPb2I
_chemical_formula_sum 'Cd1 Sn1 Pb2 I1'
_cell_length_a 6.373
_cell_length_b 6.373
_cell_length_c 7.604
_cell_angle_alpha 90.00
_cell_angle_beta 90.00
_cell_angle_gamma 90.00
_space_group_name_H-M_alt 'P 1'
_space_group_IT_number 1
_space_group_name_Hall 'P 1'
loop_
_atom_site_label
_atom_site_type_symbol
_atom_site_fract_x
_atom_site_fract_y
_atom_site_fract_z
Cd1 Cd 0.000 0.000 0.000
Sn1 Sn 0.500 0.500 0.000
Pb1 Pb 0.000 0.500 0.500
Pb2 Pb 0.500 0.000 0.500
I1 I 0.000 0.000 0.500
# uncorrected formation energy = 0.898 eV/atom
# size of the total moment = 0.01 Bohr magnetons per cell
# N(E_F) = 7.743 states/eV/cell



# GGA-PBE TcP2IrCl, optimized geometry
data_TcP2IrCl
_chemical_formula_sum 'Tc1 P2 Ir1 Cl1'
_cell_length_a 4.545
_cell_length_b 4.545
_cell_length_c 4.775
_cell_angle_alpha 90.00
_cell_angle_beta 90.00
_cell_angle_gamma 90.00
_space_group_name_H-M_alt 'P 1'
_space_group_IT_number 1
_space_group_name_Hall 'P 1'
loop_
_atom_site_label
_atom_site_type_symbol
_atom_site_fract_x
_atom_site_fract_y
_atom_site_fract_z
Tc1 Tc 0.000 0.000 0.000
P1 P 0.000 0.500 0.000
P2 P 0.500 0.000 0.000
Ir1 Ir 0.500 0.500 0.500
Cl1 Cl 0.000 0.000 0.500
# ΔE to the lowest computed polymorph = 75 meV per atom
# uncorrected formation energy = 1.114 eV/atom
# size of the total moment = 1.58 Bohr magnetons per cell
# N(E_F) = 4.427 states/eV/cell



# GGA-PBE LuThHg2, optimized geometry
data_LuThHg2
_chemical_formula_sum 'Lu1 Th1 Hg2'
_cell_length_a 3.609
_cell_length_b 3.609
_cell_length_c 7.972
_cell_angle_alpha 90.00
_cell_angle_beta 90.00
_cell_angle_gamma 90.00
_space_group_name_H-M_alt 'P 1'
_space_group_IT_number 1
_space_group_name_Hall 'P 1'
loop_
_atom_site_label
_atom_site_type_symbol
_atom_site_fract_x
_atom_site_fract_y
_atom_site_fract_z
Lu1 Lu 0.000 0.000 0.000
Th1 Th 0.000 0.000 0.500
Hg1 Hg 0.500 0.500 0.223
Hg2 Hg 0.500 0.500 0.777
# ΔE to the lowest computed polymorph = 0 meV per atom
# size of the total moment = 0.00 Bohr magnetons per cell
# N(E_F) = 4.338 states/eV/cell



# GGA-PBE LiCa2CeHg4, optimized geometry
data_LiCa2CeHg4
_chemical_formula_sum 'Li1 Ca2 Ce1 Hg4'
_cell_length_a 9.266
_cell_length_b 9.266
_cell_length_c 9.266
_cell_angle_alpha 32.99
_cell_angle_beta 32.99
_cell_angle_gamma 32.99
_space_group_name_H-M_alt 'P 1'
_space_group_IT_number 1
_space_group_name_Hall 'P 1'
loop_
_atom_site_label
_atom_site_type_symbol
_atom_site_fract_x
_atom_site_fract_y
_atom_site_fract_z
Li1 Li 0.000 0.000 0.000
Ca1 Ca 0.255 0.255 0.255
Ca2 Ca 0.745 0.745 0.745
Ce1 Ce 0.500 0.500 0.500
Hg1 Hg 0.122 0.122 0.122
Hg2 Hg 0.375 0.375 0.375
Hg3 Hg 0.625 0.625 0.625
Hg4 Hg 0.878 0.878 0.878
# E_tot = -16.4 eV for the cell shown
# size of the total moment = 1.12 Bohr magnetons per cell
# N(E_F) = 10.583 states/eV/cell



# GGA-PBE Hf2MgSc9, optimized geometry
data_Hf2MgSc9
_chemical_formula_sum 'Hf2 Mg1 Sc9'
_cell_length_a 4.563
_cell_length_b 4.563
_cell_length_c 13.692
_cell_angle_alpha 90.00
_cell_angle_beta 90.00
_cell_angle_gamma 90.00
_space_group_name_H-M_alt 'P 1'
_space_group_IT_number 1
_space_group_name_Hall 'P 1'
loop_
_atom_site_label
_atom_site_type_symbol
_atom_site_fract_x
_atom_site_fract_y
_atom_site_fract_z
Hf1 Hf 0.000 0.000 0.165
Hf2 Hf 0.000 0.000 0.835
Mg1 Mg 0.000 0.000 0.500
Sc1 Sc 0.000 0.500 0.000
Sc2 Sc 0.000 0.500 0.327
Sc3 Sc 0.000 0.500 0.673
Sc4 Sc 0.500 0.000 0.000
Sc5 Sc 0.500 0.000 0.327
Sc6 Sc 0.500 0.000 0.673
Sc7 Sc 0.500 0.500 0.170
Sc8 Sc 0.500 0.500 0.500
Sc9 Sc 0.500 0.500 0.830
# E_tot = -77.9 eV for the cell shown
# size of the total moment = 0.00 Bohr magnetons per cell
# N(E_F) = 16.962 states/eV/cell



# GGA-PBE Ba3SbAs, optimized geometry
data_Ba3SbAs
_chemical_formula_sum 'Ba3 Sb1 As1'
_cell_length_a 6.211
_cell_length_b 6.211
_cell_length_c 6.211
_cell_angle_alpha 90.00
_cell_angle_beta 90.00
_cell_angle_gamma 90.00
_space_group_name_H-M_alt 'P 1'
_space_group_IT_number 1
_space_group_name_Hall 'P 1'
loop_
_atom_site_label
_atom_site_type_symbol
_atom_site_fract_x
_atom_site_fract_y
_atom_site_fract_z
Ba1 Ba 0.000 0.000 0.500
Ba2 Ba 0.000 0.500 0.000
Ba3 Ba 0.500 0.000 0.000
Sb1 Sb 0.500 0.500 0.500
As1 As 0.000 0.000 0.000
# ΔE to the lowest computed polymorph = 220 meV per atom
# uncorrected formation energy = -0.818 eV/atom
# size of the total moment = 0.00 Bohr magnetons per cell
# N(E_F) = 0.000 states/eV/cell